{
  "formula": "NaSmTlAg",
  "functional": "GGA-PBE",
  "state": "optimized geometry",
  "formation_enthalpy_0k_kj_per_mol_fu": -66,
  "spacegroup": "F-43m (216)",
  "total_energy_ev_per_cell": -11.94,
  "n_ef_per_ev_cell": 3.39,
  "lattice": [[-1.3059, 4.1769, -2.8924], [-0.9313, -0.5515, -5.1329], [-4.8857, 0.4879, -1.8465]],
  "species": ["Ag", "Na", "Sm", "Tl"],
  "frac_coords": [[0.2500, 0.2500, 0.2500], [0.5000, 0.5000, 0.5000], [0.0000, 0.0000, 0.0000], [0.7500, 0.7500, 0.7500]]
}

{
  "formula": "NaSmZnAg",
  "functional": "GGA-PBE",
  "state": "optimized geometry",
  "formation_enthalpy_0k_kj_per_mol_fu": -36,
  "spacegroup": "F-43m (216)",
  "total_energy_ev_per_cell": -10.54,
  "n_ef_per_ev_cell": 3.22,
  "lattice": [[-1.0631, 3.9991, 2.9504], [1.5439, 0.0678, 4.8414], [3.7150, 3.1555, 1.4385]],
  "species": ["Na", "Ag", "Zn", "Sm"],
  "frac_coords": [[0.2500, 0.2500, 0.2500], [0.5000, 0.5000, 0.5000], [0.0000, 0.0000, 0.0000], [0.7500, 0.7500, 0.7500]]
}

{
  "formula": "Na4AgSn4",
  "functional": "GGA-PBE",
  "state": "optimized geometry",
  "formation_enthalpy_0k_kj_per_mol_fu": -106,
  "spacegroup": "I222 (23)",
  "total_energy_ev_per_cell": -25.24,
  "n_ef_per_ev_cell": 4.16,
  "lattice": [[-2.8725, 2.6451, 4.6110], [-4.0847, -5.9549, -3.0874], [0.2901, -5.6609, 3.4281]],
  "species": ["Sn", "Sn", "Na", "Na", "Sn", "Sn", "Na", "Ag", "Na"],
  "frac_coords": [[0.7769, 0.1295, 0.6207], [0.6474, 0.8705, 0.3793], [0.9465, 0.3607, 0.0310], [0.4142, 0.3607, 0.6082], [0.2231, 0.8705, 0.7502], [0.3526, 0.1295, 0.2498], [0.5858, 0.6393, 0.9690], [0.0000, 0.0000, 0.0000], [0.0535, 0.6393, 0.3918]]
}

{
  "formula": "Na2Ag5Sn3",
  "functional": "GGA-PBE",
  "state": "optimized geometry",
  "formation_enthalpy_0k_kj_per_mol_fu": -7,
  "spacegroup": "Ibam (72)",
  "total_energy_ev_per_cell": -57.96,
  "n_ef_per_ev_cell": 7.70,
  "lattice": [[5.9897, 0.0000, 0.0000], [2.9949, 8.8590, -1.1693], [2.9949, 0.2111, 8.9334]],
  "species": ["Ag", "Sn", "Sn", "Na", "Ag", "Sn", "Ag", "Ag", "Sn", "Ag", "Ag", "Ag", "Ag", "Sn", "Sn", "Ag", "Na", "Na", "Ag", "Na"],
  "frac_coords": [[0.6228, 0.7247, 0.0297], [0.1288, 0.2285, 0.5138], [0.3712, 0.4862, 0.7715], [0.1247, 0.6233, 0.1272], [0.8772, 0.9703, 0.2753], [0.7500, 0.0000, 0.0000], [0.0025, 0.2475, 0.2475], [0.9975, 0.7525, 0.7525], [0.2500, 0.0000, 0.0000], [0.2500, 0.5000, 0.5000], [0.5025, 0.2475, 0.2475], [0.1228, 0.0297, 0.7247], [0.4975, 0.7525, 0.7525], [0.8712, 0.7715, 0.4862], [0.6288, 0.5138, 0.2285], [0.7500, 0.5000, 0.5000], [0.3753, 0.8728, 0.3767], [0.8753, 0.3767, 0.8728], [0.3772, 0.2753, 0.9703], [0.6247, 0.1272, 0.6233]]
}

{
  "formula": "Na2Ag3Sn2",
  "functional": "GGA-PBE",
  "state": "optimized geometry",
  "formation_enthalpy_0k_kj_per_mol_fu": -60,
  "spacegroup": "C2/m (12)",
  "total_energy_ev_per_cell": -19.81,
  "n_ef_per_ev_cell": 2.41,
  "lattice": [[-3.5349, 2.2499, 2.1430], [0.4665, -5.7813, 1.6712], [4.7298, 4.3366, 3.2489]],
  "species": ["Sn", "Sn", "Na", "Ag", "Na", "Ag", "Ag"],
  "frac_coords": [[0.1349, 0.2697, 0.2301], [0.8651, 0.7303, 0.7699], [0.1516, 0.3032, 0.7594], [0.5000, 0.0000, 0.0000], [0.8484, 0.6968, 0.2406], [0.6055, 0.2110, 0.4357], [0.3945, 0.7890, 0.5643]]
}

{
  "formula": "NaAg2Sn",
  "functional": "GGA-PBE",
  "state": "optimized geometry",
  "formation_enthalpy_0k_kj_per_mol_fu": -20,
  "spacegroup": "P2_1/m (11)",
  "total_energy_ev_per_cell": -22.46,
  "n_ef_per_ev_cell": 2.05,
  "lattice": [[-2.4892, 3.5088, -2.0736], [-3.1754, -4.9140, 0.8936], [-1.9556, 2.4419, 6.4793]],
  "species": ["Sn", "Na", "Ag", "Ag", "Sn", "Ag", "Na", "Ag"],
  "frac_coords": [[0.2097, 0.4198, 0.2500], [0.0825, 0.1601, 0.7500], [0.6303, 0.2576, 0.4458], [0.6303, 0.2576, 0.0542], [0.7903, 0.5802, 0.7500], [0.3697, 0.7424, 0.5542], [0.9175, 0.8399, 0.2500], [0.3697, 0.7424, 0.9458]]
}

{
  "formula": "Na3AgSn",
  "functional": "GGA-PBE",
  "state": "optimized geometry",
  "formation_enthalpy_0k_kj_per_mol_fu": 172,
  "spacegroup": "Pm-3m (221)",
  "total_energy_ev_per_cell": -9.02,
  "n_ef_per_ev_cell": 3.79,
  "lattice": [[-5.8236, 0.0940, 0.7588], [0.4174, -4.4932, 3.7598], [0.6406, 3.7817, 4.4483]],
  "species": ["Sn", "Na", "Na", "Ag", "Na"],
  "frac_coords": [[0.0000, 0.0000, 0.0000], [0.0000, 0.5000, 0.0000], [0.0000, 0.0000, 0.5000], [0.5000, 0.5000, 0.5000], [0.5000, 0.0000, 0.0000]]
}

{
  "formula": "NaAg5Sn6",
  "functional": "GGA-PBE",
  "state": "optimized geometry",
  "formation_enthalpy_0k_kj_per_mol_fu": 19,
  "spacegroup": "C2/m (12)",
  "total_energy_ev_per_cell": -39.39,
  "n_ef_per_ev_cell": 4.74,
  "lattice": [[8.8754, -0.6474, 0.0000], [1.9409, 5.2909, 0.0000], [0.9705, 2.6455, 5.9414]],
  "species": ["Sn", "Ag", "Sn", "Sn", "Na", "Ag", "Sn", "Sn", "Ag", "Ag", "Ag", "Sn"],
  "frac_coords": [[0.2874, 0.8747, 0.6127], [0.5000, 0.8815, 0.2369], [0.7126, 0.1253, 0.3873], [0.7126, 0.5127, 0.6127], [0.0000, 0.0000, 0.0000], [0.0000, 0.3023, 0.3954], [0.2874, 0.4873, 0.3873], [0.7759, 0.6647, 0.0000], [0.5000, 0.5000, 0.0000], [0.0000, 0.6977, 0.6046], [0.5000, 0.1185, 0.7631], [0.2241, 0.3353, 0.0000]]
}